No. 1
MnOs2Rh, optimized geometry, DFT GGA-PBE; VASP energy = -38.7 eV/cell; space-group type = Cm
1.0
-4.437 -1.058 1.002
-2.887 -2.467 2.719
-0.813 3.149 3.317
Os Rh Mn
2 1 1
Direct
0.001 0.001 0.991
0.749 0.749 0.763
0.499 0.499 0.491
0.252 0.252 0.255


No. 2
MnOs2Rh, optimized geometry, DFT GGA-PBE; VASP energy = -36.7 eV/cell; space-group type = Fm-3m
1.0
-0.173 -4.092 -1.209
-3.501 -2.314 0.792
-2.557 -1.170 -3.213
Mn Rh Os
1 1 2
Direct
0.000 0.000 0.000
0.500 0.500 0.500
0.750 0.750 0.750
0.250 0.250 0.250


No. 3
MnOs2Rh, optimized geometry, DFT GGA-PBE; VASP energy = -37.8 eV/cell; space-group type = Imm2
1.0
-4.382 1.112 -2.500
-4.347 0.622 2.722
4.829 1.578 -0.936
Mn Os Rh
1 2 1
Direct
0.247 0.747 0.500
0.757 0.257 0.500
0.019 0.019 0.000
0.477 0.477 0.000


No. 4
MnOs2Rh, optimized geometry, DFT GGA-PBE; VASP energy = -38.7 eV/cell; space-group type = C2/m
1.0
4.642 -0.001 0.006
3.856 2.583 0.006
0.819 0.249 4.586
Rh Mn Os
1 1 2
Direct
0.750 0.750 0.750
0.250 0.250 0.250
0.996 0.996 0.008
0.504 0.504 0.492


No. 5
Mn2OsRh, optimized geometry, DFT GGA-PBE; VASP energy = -36.4 eV/cell; space-group type = R3m
1.0
-4.972 -6.121 -3.503
-3.724 -7.605 -1.658
-5.909 -6.208 -0.998
Os Rh Mn
1 1 2
Direct
0.503 0.503 0.503
0.747 0.747 0.747
0.253 0.253 0.253
0.997 0.997 0.997


No. 6
MnOs2Rh, optimized geometry, DFT GGA-PBE; VASP energy = -38.6 eV/cell; space-group type = I4/mmm
1.0
-2.042 3.699 1.972
-4.515 0.144 -1.159
2.681 -3.396 1.740
Rh Os Mn
1 2 1
Direct
0.250 0.750 0.500
0.000 0.000 0.000
0.500 0.500 0.000
0.750 0.250 0.500


Results for energy relative to the elements: 0.06; 0.58; 0.28; 0.07; 0.12; 0.08 (in eV/atom, following the order of the records).
Results for Fermi-level density of states: 3.62; 6.97; 3.46; 4.71; 5.88; 4.01 (in states/eV/f.u., following the order of the records).